{"formula": "Nb4GeRu2", "functional": "GGA-PBE", "state": "optimized geometry", "lattice": [[4.689, 0.000, 0.000], [0.000, 4.689, 0.000], [2.345, 2.345, 6.466]], "species": ["Ge", "Nb", "Nb", "Nb", "Nb", "Ru", "Ru"], "frac_coords": [[0.000, 0.000, 0.000], [0.500, 0.000, 0.000], [0.198, 0.198, 0.605], [0.000, 0.500, 0.000], [0.802, 0.802, 0.395], [0.380, 0.380, 0.240], [0.620, 0.620, 0.760]], "sg": "No. 139", "formation_energy_ev_per_atom": 0.82}



{"formula": "Si2SnGe2", "functional": "GGA-PBE", "state": "optimized geometry", "lattice": [[3.566, 0.000, 0.000], [0.000, 3.566, 0.000], [1.783, 1.783, 7.887]], "species": ["Si", "Si", "Sn", "Ge", "Ge"], "frac_coords": [[0.250, 0.750, 0.500], [0.750, 0.250, 0.500], [0.000, 0.000, 0.000], [0.385, 0.385, 0.230], [0.615, 0.615, 0.770]], "e_tot_ev_per_atom": -4.4861, "sg": "No. 139"}



{"formula": "Li3In4Ni", "functional": "GGA-PBE", "state": "optimized geometry", "lattice": [[-1.242, 3.985, -2.047], [-4.471, -1.238, 0.302], [2.442, 1.588, 6.888]], "species": ["In", "In", "In", "In", "Li", "Li", "Li", "Ni"], "frac_coords": [[0.119, 0.119, 0.238], [0.619, 0.619, 0.238], [0.881, 0.881, 0.762], [0.381, 0.381, 0.762], [0.254, 0.754, 0.509], [0.746, 0.246, 0.491], [0.000, 0.500, 0.000], [0.500, 0.000, 0.000]], "sg": "No. 139", "formation_energy_ev_per_atom": -0.23}



{"formula": "ScBi", "functional": "GGA-PBE", "state": "optimized geometry", "lattice": [[4.279, 0.000, 0.000], [-2.139, 3.705, 0.000], [0.000, 0.000, 7.062]], "species": ["Bi", "Bi", "Sc", "Sc"], "frac_coords": [[0.667, 0.333, 0.750], [0.333, 0.667, 0.250], [0.000, 0.000, 0.000], [0.000, 0.000, 0.500]], "sg": "No. 194", "formation_energy_ev_per_atom": -0.68}



{"formula": "Ce5DyGe5", "functional": "GGA-PBE", "state": "optimized geometry", "lattice": [[5.934, 0.000, 0.000], [-2.967, 6.618, -0.061], [0.000, -2.548, 7.955]], "species": ["Ge", "Ge", "Ge", "Ge", "Ge", "Dy", "Ce", "Ce", "Ce", "Ce", "Ce"], "frac_coords": [[0.168, 0.336, 0.830], [0.500, 0.000, 0.000], [0.832, 0.664, 0.170], [0.833, 0.666, 0.663], [0.167, 0.334, 0.337], [0.000, 0.000, 0.000], [0.336, 0.672, 0.667], [0.666, 0.332, 0.834], [0.664, 0.328, 0.333], [0.000, 0.000, 0.500], [0.334, 0.668, 0.166]], "sg": "No. 12", "formation_energy_ev_per_atom": -0.56}



{"formula": "BeAg2Rh", "functional": "GGA-PBE", "state": "optimized geometry", "lattice": [[2.896, 0.022, 0.000], [-0.022, 2.896, 0.000], [0.000, 0.000, 6.903]], "species": ["Rh", "Ag", "Ag", "Be"], "frac_coords": [[0.500, 0.500, 0.691], [0.500, 0.500, 0.286], [0.000, 0.000, 0.982], [0.000, 0.000, 0.541]], "sg": "No. 99", "formation_energy_ev_per_atom": -0.11}



{"formula": "RbV2GaNi", "functional": "GGA-PBE", "state": "optimized geometry", "lattice": [[-1.133, 0.106, -4.497], [2.470, -3.861, -0.714], [-4.663, -3.186, 1.100]], "species": ["Ni", "Rb", "Ga", "V", "V"], "frac_coords": [[0.500, 0.500, 0.500], [0.000, 0.000, 0.500], [0.000, 0.000, 0.000], [0.000, 0.500, 0.000], [0.500, 0.000, 0.000]], "sg": "No. 123", "formation_energy_ev_per_atom": 1.65}



{"formula": "SmAg2Te3", "functional": "GGA-PBE", "state": "optimized geometry", "lattice": [[4.409, 0.000, 0.000], [0.000, 8.113, 0.911], [0.000, -2.056, 10.532]], "species": ["Sm", "Sm", "Te", "Te", "Te", "Te", "Te", "Te", "Ag", "Ag", "Ag", "Ag"], "frac_coords": [[0.750, 0.232, 0.699], [0.250, 0.768, 0.301], [0.750, 0.734, 0.522], [0.750, 0.933, 0.155], [0.250, 0.415, 0.177], [0.250, 0.266, 0.478], [0.250, 0.067, 0.845], [0.750, 0.585, 0.823], [0.250, 0.944, 0.592], [0.250, 0.416, 0.910], [0.750, 0.056, 0.408], [0.750, 0.584, 0.090]], "e_tot_ev_per_atom": -3.8690, "sg": "No. 11"}



| no. | M_tot (μB/f.u.) |
| --- | --- |
| 1 | 0.0 |
| 2 | 0.0 |
| 3 | 0.0 |
| 4 | 0.0 |
| 5 | 2.0 |
| 6 | 0.0 |
| 7 | 4.9 |
| 8 | 0.0 |